# CsLi3In PBEsol relaxed
# **Formation enthalpy at 0 K**: 0.012 eV/atom
# **Energy**: -9.77 eV for the cell shown
data_CsLi3In
_cell_length_a 5.511
_cell_length_b 5.511
_cell_length_c 5.511
_cell_angle_alpha 90.00
_cell_angle_beta 90.00
_cell_angle_gamma 90.00
_symmetry_space_group_name_H-M 'P m -3 m'
_symmetry_Int_Tables_number 221
_symmetry_space_group_name_Hall '-P 4 2 3'
loop_
_atom_site_label
_atom_site_type_symbol
_atom_site_fract_x
_atom_site_fract_y
_atom_site_fract_z
_atom_site_occupancy
Cs1 Cs 0.000 0.000 0.000 1
Li1 Li 0.000 0.500 0.500 1
In1 In 0.500 0.500 0.500 1